No. 1
A relaxed Re2PtBr crystal. Source: Alexandria via LeMat-Bulk, functional PBE.

Calculated values
The relative energy among the computed polymorphs is 577 meV per atom. The formation energy from raw total energies is 0.96 eV per atom. Its calculated total energy is -7.193 eV per atom.

a b c (Å): 3.0201 3.6389 6.6569
angles (deg): 90.00 90.00 90.00
Sites, in units of the cell vectors:
Re 0.0000 0.0000 0.1856
Re 0.0000 0.0000 0.8144
Pt 0.5000 0.5000 0.0000
Br 0.5000 0.5000 0.5000


No. 2
A relaxed Sr2Zn3SnAu4 crystal. Source: Alexandria via LeMat-Bulk, functional PBE.

Calculated values
Its calculated total energy is -2.952 eV per atom.

a b c (Å): 4.5542 4.5542 11.0334
angles (deg): 90.00 90.00 90.00
Sites, in units of the cell vectors:
Sr 0.0000 0.5000 0.2406
Sr 0.5000 0.0000 0.7594
Zn 0.0000 0.5000 0.8784
Zn 0.5000 0.0000 0.1216
Zn 0.5000 0.5000 0.5000
Sn 0.0000 0.0000 0.5000
Au 0.0000 0.0000 0.0000
Au 0.0000 0.5000 0.6455
Au 0.5000 0.0000 0.3545
Au 0.5000 0.5000 0.0000


No. 3
A relaxed FeSe crystal. Source: Alexandria via LeMat-Bulk, functional PBE.

Calculated values
The formation energy from raw total energies is -0.01 eV per atom. Its calculated total energy is -5.985 eV per atom.

a b c (Å): 6.3868 6.3868 4.1228
angles (deg): 90.00 90.00 90.00
Sites, in units of the cell vectors:
Fe 0.1374 0.1374 0.0000
Fe 0.3626 0.6374 0.5000
Fe 0.6374 0.3626 0.5000
Fe 0.8626 0.8626 0.0000
Se 0.2255 0.7745 0.0000
Se 0.2745 0.2745 0.5000
Se 0.7255 0.7255 0.5000
Se 0.7745 0.2255 0.0000


Q: calculated total energy of number 1 (Re2PtBr)?
A: -7.193 eV per atom